Er2RuN after structural relaxation. Source: Alexandria via LeMat-Bulk, functional PBE.

abc: 3.3196 3.3196 23.4011
angles: 90.00 90.00 120.00
Space group R-3m (No. 166, hexagonal axes)
Symmetry-distinct sites (fractional):
1 Er 0.0000 0.0000 0.1083 x6
2 Ru 0.0000 0.0000 0.0000 x3
3 N 0.0000 0.0000 0.5000 x3

The calculation puts the calculated total energy at -7.08 eV per atom. The value obtained for the total moment is 0.000 μB/f.u. For the density of states at the Fermi level, the calculation gives 9.72 states/eV/cell.